VASP calculation (PBE) on a relaxed structure of Si2IrOsPt.

Unit cell a=4.372 b=4.372 c=5.210 alpha=90.00 beta=90.00 gamma=90.00
Fractional coordinates of all 5 atoms:
Si (0.000, 0.500, 0.000)
Si (0.500, 0.000, 0.000)
Ir (0.000, 0.000, 0.000)
Os (0.500, 0.500, 0.500)
Pt (0.000, 0.000, 0.500)

Calculated values
Raw formation energy (eV per formula unit): 6.38
Calculated volume (A^3/atom): 19.92

VASP calculation (PBE) on a relaxed structure of Li2CuSI.

Unit cell a=4.920 b=4.920 c=4.342 alpha=90.00 beta=90.00 gamma=90.00
Fractional coordinates of all 5 atoms:
Li (0.000, 0.500, 0.000)
Li (0.500, 0.000, 0.000)
Cu (0.000, 0.000, 0.500)
S (0.000, 0.000, 0.000)
I (0.500, 0.500, 0.500)

Calculated values
Raw formation energy (eV per formula unit): -4.14
Calculated volume (A^3/atom): 21.02

VASP calculation (PBE) on a relaxed structure of KSb4Ru.

Unit cell a=6.256 b=6.256 c=6.256 alpha=60.00 beta=60.00 gamma=60.00
Fractional coordinates of all 6 atoms:
K (0.000, 0.000, 0.000)
Sb (0.375, 0.375, 0.375)
Sb (0.375, 0.375, 0.874)
Sb (0.375, 0.874, 0.375)
Sb (0.874, 0.375, 0.375)
Ru (0.750, 0.750, 0.750)

Calculated values
Raw formation energy (eV per formula unit): 3.64
Calculated volume (A^3/atom): 28.85

VASP calculation (PBE) on a relaxed structure of Cu2AgAu2.

Unit cell a=7.185 b=7.185 c=7.185 alpha=151.28 beta=151.28 gamma=41.07
Fractional coordinates of all 5 atoms:
Cu (0.250, 0.750, 0.500)
Cu (0.750, 0.250, 0.500)
Ag (0.000, 0.000, 0.000)
Au (0.394, 0.394, 0.000)
Au (0.606, 0.606, 0.000)

Calculated values
Polymorph energy (0 for the lowest one) (meV per atom): 87
Calculated volume (A^3/atom): 17.10

VASP calculation (PBE) on a relaxed structure of TlPd2F6.

Unit cell a=7.874 b=7.874 c=6.296 alpha=94.14 beta=94.14 gamma=86.31
Fractional coordinates of all 18 atoms:
Tl (0.220, 0.780, 0.750)
Tl (0.780, 0.220, 0.250)
Pd (0.251, 0.253, 0.661)
Pd (0.253, 0.251, 0.161)
Pd (0.747, 0.749, 0.839)
Pd (0.749, 0.747, 0.339)
F (0.043, 0.219, 0.977)
F (0.132, 0.371, 0.410)
F (0.219, 0.043, 0.477)
F (0.281, 0.461, 0.848)
F (0.371, 0.132, 0.910)
F (0.461, 0.281, 0.348)
F (0.539, 0.719, 0.652)
F (0.629, 0.868, 0.090)
F (0.719, 0.539, 0.152)
F (0.781, 0.957, 0.523)
F (0.868, 0.629, 0.590)
F (0.957, 0.781, 0.023)

Calculated values
Raw formation energy (eV per formula unit): -11.76
Calculated volume (A^3/atom): 21.54

VASP calculation (PBE) on a relaxed structure of HoReF.

Unit cell a=3.177 b=3.177 c=9.388 alpha=90.00 beta=90.00 gamma=90.00
Fractional coordinates of all 6 atoms:
Ho (0.250, 0.250, 0.197)
Ho (0.750, 0.750, 0.803)
Re (0.250, 0.250, 0.570)
Re (0.750, 0.750, 0.430)
F (0.250, 0.250, 0.932)
F (0.750, 0.750, 0.068)

Calculated values
Raw formation energy (eV per formula unit): -4.81
Calculated volume (A^3/atom): 15.79

VASP calculation (PBE) on a relaxed structure of Tb2PmHoMg.

Unit cell a=6.145 b=5.606 c=9.417 alpha=90.00 beta=108.83 gamma=90.00
Fractional coordinates of all 10 atoms:
Tb (0.050, 0.250, 0.299)
Tb (0.124, 0.750, 0.105)
Tb (0.876, 0.250, 0.895)
Tb (0.950, 0.750, 0.701)
Pm (0.464, 0.250, 0.111)
Pm (0.536, 0.750, 0.889)
Ho (0.336, 0.750, 0.502)
Ho (0.664, 0.250, 0.498)
Mg (0.271, 0.250, 0.693)
Mg (0.729, 0.750, 0.307)

Calculated values
Calculated volume (A^3/atom): 30.70
Uncorrected energy (eV for the cell shown): -40.2

VASP calculation (PBE) on a relaxed structure of Pr8Er6Cd.

Unit cell a=9.418 b=9.418 c=6.514 alpha=90.00 beta=90.00 gamma=120.00
Fractional coordinates of all 15 atoms:
Pr (0.043, 0.768, 0.181)
Pr (0.232, 0.275, 0.181)
Pr (0.275, 0.043, 0.819)
Pr (0.333, 0.667, 0.148)
Pr (0.667, 0.333, 0.852)
Pr (0.725, 0.957, 0.181)
Pr (0.768, 0.725, 0.819)
Pr (0.957, 0.232, 0.819)
Er (0.099, 0.649, 0.667)
Er (0.351, 0.450, 0.667)
Er (0.450, 0.099, 0.333)
Er (0.550, 0.901, 0.667)
Er (0.649, 0.550, 0.333)
Er (0.901, 0.351, 0.333)
Cd (0.000, 0.000, 0.500)

Calculated values
Calculated volume (A^3/atom): 33.36
Uncorrected energy (eV for the cell shown): -65.0